First-principles (PBE) data for ScAlPb2 after structural relaxation, as listed in the Alexandria database. Values from VASP.

Output
crystal system	monoclinic
DFT formation energy	-0.06	eV/atom
space group	Pm, No. 6
calculated density	8072	kg/m³
uncorrected energy	-4.432	eV/atom

Structure (Quantum ESPRESSO input):
```
&SYSTEM
  ibrav = 0, nat = 4, ntyp = 3
/
ATOMIC_SPECIES
Al 26.98 Al.upf
Pb 207.20 Pb.upf
Sc 44.96 Sc.upf
CELL_PARAMETERS angstrom
-3.776 1.129 -2.144
-0.478 -3.338 -0.917
-3.751 -3.904 4.550
ATOMIC_POSITIONS angstrom
Al -4.999 -4.878 1.539
Pb -3.050 -1.289 -0.001
Sc -2.154 -3.698 1.846
Pb -4.146 -7.111 3.556
```